CaSbTe2N: PBEsol geometry, meta-GGA SCAN.

Its formation energy (no corrections) is 0.559 eV per atom. The relative energy among the computed polymorphs comes out at 0.488 eV/atom. As for the space group: P4/mmm, No. 123. As for the total magnetization: 0.48 μB/atom.

Unit cell a=4.298 b=5.780 c=5.780 alpha=90.00 beta=90.00 gamma=90.00
Atoms (fractional coordinates):
Sb (0.500, 0.500, 0.500)
Ca (0.000, 0.000, 0.000)
Te (0.000, 0.000, 0.500)
Te (0.000, 0.500, 0.000)
N (0.500, 0.000, 0.000)